Computed, not measured: Tl2FeMoPt after structural relaxation at the PBE level of DFT.

a b c (Å): 4.9434 4.9434 4.7513
angles (deg): 90.00 90.00 90.00
Last column: nearest neighbours and their distance in Å.
Positions (direct):
Tl1 0.0000 0.5000 0.0000  2 Fe 2.47
Tl2 0.5000 0.0000 0.0000  2 Fe 2.47
Fe1 0.0000 0.0000 0.0000  2 Pt 2.38, 4 Tl 2.47
Mo1 0.5000 0.5000 0.5000  8 Tl 3.43, 4 Pt 3.50
Pt1 0.0000 0.0000 0.5000  2 Fe 2.38

- Spin magnetization: 6.2 μB/f.u.
- Uncorrected energy: -24.209 eV for the cell shown
- Formation enthalpy at 0 K: 1172 meV/atom
- Calculated volume: 23.2 Å³/atom